(1)
# Dy6Ga2Pb

Dy6Ga2Pb after structural relaxation (PBE-GGA, Alexandria).

extended XYZ file:
```
18
Lattice="8.1002 -0.1137 -3.0905 -4.2901 7.1766 -2.2956 -0.2172 0.1137 8.6671" Properties=species:S:1:pos:R:3 pbc="T T T"
Ga 5.0754 0.0000 3.5904
Ga 2.2276 2.7722 5.2111
Dy 5.5171 0.1131 0.5610
Dy 3.8995 2.7296 2.8477
Ga 2.8077 0.0000 1.9862
Pb -2.2536 3.6452 3.1857
Pb 0.0000 0.0000 0.0000
Dy -0.6101 2.0907 6.1270
Dy 2.5260 1.9770 -0.4752
Dy 4.2031 5.0859 -2.8460
Ga 1.3654 4.4044 -1.9301
Dy -1.9241 7.0635 2.7200
Dy 3.0498 5.4385 0.6175
Dy 1.0670 5.1996 3.7562
Dy -0.3065 4.4470 0.4332
Dy -1.8149 5.5522 5.9969
Dy 0.5432 1.7381 2.6635
Dy 5.4079 1.6244 -2.7159
```

Calculated values
energy relative to the elements: -3.9 eV per formula unit

***

(2)
# BaCa3Pd3

BaCa3Pd3 after structural relaxation (PBE-GGA, Alexandria).

extended XYZ file:
```
14
Lattice="-5.2377 -4.2554 -3.9894 5.8244 -4.1070 -3.2661 -0.3171 -5.1461 5.9055" Properties=species:S:1:pos:R:3 pbc="T T T"
Ca -2.6982 -3.4142 -0.5183
Ca 4.2097 -5.6533 0.5032
Pd -1.4680 -3.6369 1.9554
Ca -2.8567 -5.9873 2.4345
Pd 1.7494 -5.2080 -4.4442
Pd 2.8329 -3.3400 -0.1566
Ca -1.0161 -5.2451 -4.6251
Pd 2.6743 -5.9130 2.7961
Pd -1.1628 -3.1545 -2.8112
Pd -4.0869 -5.7646 -0.0393
Ba 0.0000 0.0000 0.0000
Ca 1.6028 -3.1174 -2.6304
Ba 0.1348 -6.7542 -0.6750
Ca 1.2975 -3.5998 2.1363
```

Calculated values
energy relative to the elements: -1.8 eV per formula unit

***

(3)
# Hg2OsBr

Hg2OsBr after structural relaxation (PBE-GGA, Alexandria).

extended XYZ file:
```
4
Lattice="-0.2111 -2.7521 -1.9885 2.1829 -1.3360 1.6174 -5.9185 -3.3159 5.2173" Properties=species:S:1:pos:R:3 pbc="T T T"
Os -1.0394 -2.5390 0.7144
Br -2.9072 -4.8649 4.1318
Hg -1.0489 -2.5110 3.5866
Hg 1.3641 -1.1509 1.4481
```

Calculated values
formation energy (no corrections): 0.723 eV/atom

***

(4)
# YSn2BRu

YSn2BRu after structural relaxation (PBE-GGA, Alexandria).

extended XYZ file:
```
5
Lattice="-4.5771 0.8749 1.3446 -1.3868 -2.3574 -3.1869 0.0909 -3.9174 2.8582" Properties=species:S:1:pos:R:3 pbc="T T T"
Sn 0.0454 -1.9587 1.4291
Y -2.9365 -2.7000 0.5079
B 0.0000 0.0000 0.0000
Ru -0.6934 -1.1787 -1.5935
Sn -2.2886 0.4374 0.6723
```

Calculated values
energy relative to the elements: 0.5 eV per formula unit

***

(5)
# Tl3TcMo

Tl3TcMo after structural relaxation (PBE-GGA, Alexandria).

extended XYZ file:
```
5
Lattice="5.2897 0.0000 0.0000 0.0000 5.2897 0.0000 0.0000 0.0000 5.2897" Properties=species:S:1:pos:R:3 pbc="T T T"
Tl 2.6449 0.0000 0.0000
Mo 2.6449 2.6449 2.6449
Tl 0.0000 2.6449 0.0000
Tc 0.0000 0.0000 0.0000
Tl 0.0000 0.0000 2.6449
```

Calculated values
energy relative to the elements: 6.5 eV per formula unit

***

(6)
# HfTi2Ga

HfTi2Ga after structural relaxation (PBE-GGA, Alexandria).

extended XYZ file:
```
4
Lattice="4.6534 0.0000 0.0000 2.3267 4.0300 0.0000 2.3267 1.3433 3.7992" Properties=species:S:1:pos:R:3 pbc="T T T"
Ti 6.9802 4.0300 0.0002
Ga 6.9802 4.0300 2.8499
Hf 4.6534 2.6867 1.8996
Ti 2.3267 1.3433 0.9491
```

Calculated values
energy relative to the elements: -0.5 eV per formula unit

***

(7)
# Rb2TaSe4

Rb2TaSe4 after structural relaxation (PBE-GGA, Alexandria).

extended XYZ file:
```
14
Lattice="-6.3367 1.7380 -2.4776 -2.1154 -8.1478 -0.3050 -2.0053 3.4659 7.5601" Properties=species:S:1:pos:R:3 pbc="T T T"
Rb -8.1331 -4.3979 2.7885
Se -4.9630 -4.6092 4.4842
Ta -6.3759 -0.7067 0.8835
Se -5.3065 -0.1030 3.3144
Rb -2.3033 -2.2899 -0.6912
Se -5.4945 1.6655 0.2933
Se -2.1313 -3.6691 2.6438
Se -5.1510 -2.8408 1.4632
Se -8.3262 0.7253 2.1337
Se -4.9968 -2.2444 6.2295
Se -5.4607 -0.6994 -1.4520
Rb -8.1542 -0.6539 5.4687
Rb -2.3244 1.4541 1.9890
Ta -4.0816 -2.2371 3.8940
```

Calculated values
formation energy (no corrections): -0.853 eV/atom

***

(8)
# InSi2

InSi2 after structural relaxation (PBE-GGA, Alexandria).

extended XYZ file:
```
12
Lattice="5.3915 0.0000 0.0000 -2.6958 4.6692 0.0000 0.0000 0.0000 8.8388" Properties=species:S:1:pos:R:3 pbc="T T T"
Si 4.0140 0.7953 2.2097
In 2.6958 1.5564 4.9906
Si 2.6958 3.0786 2.2097
Si 1.3182 3.8739 6.6291
Si 0.0000 0.0000 4.4194
Si 0.0000 1.5906 6.6291
Si -1.3182 3.8739 6.6291
Si 0.0000 0.0000 0.0000
In 0.0000 3.1128 3.8482
In 0.0000 3.1128 0.5712
Si 1.3775 0.7953 2.2097
In 2.6958 1.5564 8.2676
```

Calculated values
formation energy (no corrections): 0.391 eV/atom

***

| no. | ρ (Mg/m³) | N(E_F) (states/eV per atom) |
| --- | --- | --- |
| 1 | 8.81 | 0.777 |
| 2 | 3.98 | 0.587 |
| 3 | 12.65 | 0.828 |
| 4 | 7.37 | 0.656 |
| 5 | 9.05 | 0.425 |
| 6 | 8.02 | 1.376 |
| 7 | 4.71 | 0.034 |
| 8 | 5.10 | 0.223 |